1.
A plane-wave DFT calculation with GGA-PBE was carried out for crystalline LiY3Th3Se8 at its relaxed geometry.

abc: 8.2010 8.2010 20.3626
angles: 90.00 90.00 120.00
Space group R-3m (No. 166, hexagonal axes)
One atom of each set of equivalent atoms:
Li  0.0000  0.0000  0.0000
Y  0.0000  0.5000  0.0000
Th  0.0000  0.5000  0.5000
Se  0.0000  0.0000  0.2547
Se  0.0016  0.5008  0.7466

Values from the calculation:
size of the total moment = 0.000 μB per atom
V = 26.4 A^3/atom
energy relative to the elements, uncorrected = -25.2 eV per formula unit

***

2.
A plane-wave DFT calculation with GGA-PBE was carried out for crystalline LiY3Th4Se8 at its relaxed geometry.

abc: 8.0072 8.0072 21.4834
angles: 90.00 90.00 120.00
Space group R-3m (No. 166, hexagonal axes)
One atom of each set of equivalent atoms:
Li  0.0000  0.0000  0.0000
Y  0.0000  0.5000  0.0000
Th  0.0000  0.0000  0.5000
Th  0.0000  0.5000  0.5000
Se  0.0000  0.0000  0.2550
Se  0.0094  0.5047  0.7428

Values from the calculation:
size of the total moment = 0.000 μB per atom
V = 24.9 A^3/atom
energy relative to the elements, uncorrected = -26.0 eV per formula unit

***

3.
A plane-wave DFT calculation with GGA-PBE was carried out for crystalline Li5TiSe4 at its relaxed geometry.

abc: 3.914 7.228 13.811
angles: 90.00 90.00 90.00
Space group Immm (No. 71)
One atom of each set of equivalent atoms:
Li  0.000  0.000  0.000
Li  0.000  0.215  0.322
Ti  0.000  0.500  0.000
Se  0.000  0.251  0.500
Se  0.000  0.500  0.202

Values from the calculation:
size of the total moment = 0.100 μB per atom
V = 19.5 A^3/atom
energy relative to the elements, uncorrected = -11.5 eV per formula unit

***

4.
A plane-wave DFT calculation with GGA-PBE was carried out for crystalline LiTiSe3 at its relaxed geometry.

abc: 4.541 7.327 8.498
angles: 83.13 74.52 90.00
Space group P-1 (No. 2)
One atom of each set of equivalent atoms:
Li  0.178  0.392  0.144
Ti  0.338  0.130  0.824
Se  0.176  0.031  0.149
Se  0.342  0.450  0.815
Se  0.489  0.157  0.521

Values from the calculation:
size of the total moment = 0.000 μB per atom
V = 27.0 A^3/atom
energy relative to the elements, uncorrected = -4.6 eV per formula unit
energy above the most stable polymorph in this dataset = 0 meV/atom

***

5.
A plane-wave DFT calculation with GGA-PBE was carried out for crystalline LiTiSe at its relaxed geometry.

abc: 3.816 3.816 6.936
angles: 90.00 90.00 90.00
Space group P4/nmm (No. 129, origin choice 2)
One atom of each set of equivalent atoms:
Li  0.250  0.250  0.155
Ti  0.250  0.750  0.500
Se  0.250  0.250  0.771

Values from the calculation:
size of the total moment = 0.000 μB per atom
V = 16.8 A^3/atom
energy relative to the elements, uncorrected = -2.8 eV per formula unit

***

6.
A plane-wave DFT calculation with GGA-PBE was carried out for crystalline LiTi4Se7 at its relaxed geometry.

abc: 3.6094 3.6094 22.4812
angles: 90.00 90.00 120.00
Space group P-3m1 (No. 164)
One atom of each set of equivalent atoms:
Li  0.0000  0.0000  0.0000
Ti  0.3333  0.6667  0.1474
Ti  0.3333  0.6667  0.4295
Se  0.0000  0.0000  0.2137
Se  0.0000  0.0000  0.5000
Se  0.3333  0.6667  0.6367
Se  0.3333  0.6667  0.9235

Values from the calculation:
size of the total moment = 0.040 μB per atom
V = 21.1 A^3/atom
energy relative to the elements, uncorrected = -13.5 eV per formula unit